[1]
First-principles (PBE) data for a relaxed KPmCdF6 crystal, as listed in Alexandria via LeMat-Bulk.

Geometry as POSCAR:
```
KPmCdF6
1.0
-0.8838 2.3073 -8.1897
-3.0341 -7.3504 -1.7435
-3.6419 4.5542 6.1437
F Cd K Pm
12 2 2 2
Cartesian
-3.4740 -2.6605 -3.2415
-2.0346 2.4205 -5.1667
-5.5252 -2.9094 1.3773
-1.8856 -0.4353 -4.3867
-3.7691 1.3449 2.3863
-1.7179 1.5938 -2.2324
-4.3179 -4.7716 -0.8784
-4.0858 2.1716 -0.5479
-5.6742 -0.0536 0.5972
-3.7907 -1.8338 -6.1758
-3.2419 4.2827 -2.9111
-5.8418 -2.0827 -1.5570
-1.9589 -2.5216 -4.9666
-0.4419 1.1537 -4.0948
-3.3827 -0.8852 0.1156
-4.1771 0.3964 -3.9051
-2.2629 3.4308 -1.0230
-1.8210 2.2771 3.0718
```

## Properties
V ... 23.5 Å³ per atom
Crystal system ... orthorhombic
Energy ... -91.7 eV per cell
Space group ... Imma (74)

=====

[2]
First-principles (PBE) data for a relaxed KRb4Cd3F12 crystal, as listed in Alexandria via LeMat-Bulk.

Geometry as POSCAR:
```
KRb4Cd3F12
1.0
7.9318 0.0000 0.0000
-2.6439 7.4782 0.0000
-2.6439 -3.7391 6.4763
F Rb Cd K
12 4 3 1
Cartesian
1.3220 4.6739 1.6191
1.4242 2.0142 0.0000
3.8636 5.4640 0.0000
1.4242 -1.0071 1.7443
-1.3220 3.7391 3.2381
3.9659 2.8043 1.6191
-3.8636 2.7320 4.7320
1.3220 -0.9348 4.8572
3.8636 -2.7320 4.7320
-1.3220 0.9348 4.8572
3.9659 0.0000 3.2381
-1.4242 1.0071 1.7443
-1.3220 -1.8695 3.2381
3.9659 0.0000 0.0000
-1.3220 3.7391 0.0000
1.3220 1.8695 3.2381
2.6439 3.7391 0.0000
2.6439 -1.8695 3.2381
-2.6439 1.8695 3.2381
0.0000 0.0000 0.0000
```

## Properties
V ... 19.2 Å³ per atom
Crystal system ... cubic
Energy ... -78.0 eV per cell
Space group ... Im-3m (229)

=====

[3]
First-principles (PBE) data for a relaxed KRb2CdF5 crystal, as listed in Alexandria via LeMat-Bulk.

Geometry as POSCAR:
```
KRb2CdF5
1.0
-3.5510 1.1172 -2.3384
-0.9586 -6.1923 -1.5029
-1.5616 1.8066 7.3668
F Rb Cd K
5 2 1 1
Cartesian
-2.9452 -1.1364 -0.2028
-3.1260 -2.1321 3.7283
-2.6367 1.0284 4.4953
-3.4345 -4.2969 -0.9698
0.0000 0.0000 0.0000
-4.4467 -2.9574 1.2073
-1.6245 -0.3111 2.3182
-1.7755 0.5586 -1.1692
-0.4793 -3.0962 -0.7514
```

## Properties
V ... 21.1 Å³ per atom
Crystal system ... orthorhombic
Energy ... -36.0 eV per cell
Space group ... Immm (71)

=====

Among the records above, which one has the highest energy? KRb2CdF5